Compound: ZrFe2Au
Source: OQMD via LeMat-Bulk
Functional: PBE
Structure: optimized geometry

## Properties
magnetic moment: 4.61 μB/f.u.
calculated formation energy: 0.00 eV per atom
E_tot: -113.75 eV for the cell shown

Cell lengths 6.349, 6.349, 6.349 Å; angles 90.00, 90.00, 90.00 degrees
Space group F-43m (No. 216)
Asymmetric unit:
1 Zr 0.000 0.000 0.000 x4
2 Fe 0.000 0.000 0.500 x4
3 Fe 0.250 0.250 0.750 x4
4 Au 0.250 0.250 0.250 x4


Compound: Ga2Au
Source: OQMD via LeMat-Bulk
Functional: PBE
Structure: optimized geometry

## Properties
E_tot: -38.94 eV for the cell shown

Cell lengths 7.189, 3.900, 8.006 Å; angles 90.00, 90.00, 90.00 degrees
Space group Pnma (No. 62)
Asymmetric unit:
1 Ga 0.036 0.250 0.170 x4
2 Ga 0.125 0.250 0.571 x4
3 Au 0.241 0.250 0.880 x4


Compound: Ga3Au
Source: OQMD via LeMat-Bulk
Functional: PBE
Structure: optimized geometry

## Properties
E_tot: -46.86 eV for the cell shown

Cell lengths 4.578, 13.107, 7.029 Å; angles 90.00, 90.00, 90.00 degrees
Space group Cmmm (No. 65)
Asymmetric unit:
1 Ga 0.000 0.095 0.000 x4
2 Ga 0.000 0.400 0.319 x8
3 Au 0.000 0.310 0.000 x4


Compound: Ga2Au
Source: OQMD via LeMat-Bulk
Functional: PBE
Structure: optimized geometry

## Properties
E_tot: -38.53 eV for the cell shown

Cell lengths 3.288, 9.881, 6.977 Å; angles 90.00, 103.79, 90.00 degrees
Space group P2_1/c (No. 14)
Asymmetric unit:
1 Ga 0.007 0.126 0.405 x4
2 Ga 0.350 0.125 0.064 x4
3 Au 0.322 0.622 0.763 x4


Compound: GaAu9
Source: OQMD via LeMat-Bulk
Functional: PBE
Structure: optimized geometry

## Properties
E_tot: -64.61 eV for the cell shown

Cell lengths 2.901, 4.160, 44.364 Å; angles 90.00, 90.00, 90.00 degrees
Space group Pmmn (No. 59, origin choice 2)
Asymmetric unit:
1 Ga 0.250 0.250 0.183 x2
2 Au 0.250 0.250 0.247 x2
3 Au 0.250 0.250 0.314 x2
4 Au 0.250 0.250 0.382 x2
5 Au 0.250 0.250 0.449 x2
6 Au 0.250 0.250 0.517 x2
7 Au 0.250 0.250 0.584 x2
8 Au 0.250 0.250 0.652 x2
9 Au 0.250 0.250 0.720 x2
10 Au 0.250 0.250 0.791 x2


Compound: GaAu9
Source: OQMD via LeMat-Bulk
Functional: PBE
Structure: optimized geometry

## Properties
E_tot: -64.59 eV for the cell shown

Cell lengths 2.919, 2.919, 56.228 Å; angles 90.00, 90.00, 90.00 degrees
Space group P4/nmm (No. 129, origin choice 2)
Asymmetric unit:
1 Ga 0.250 0.250 0.141 x2
2 Au 0.250 0.250 0.218 x2
3 Au 0.250 0.250 0.293 x2
4 Au 0.250 0.250 0.369 x2
5 Au 0.250 0.250 0.444 x2
6 Au 0.250 0.250 0.519 x2
7 Au 0.250 0.250 0.594 x2
8 Au 0.250 0.250 0.669 x2
9 Au 0.250 0.250 0.745 x2
10 Au 0.250 0.250 0.821 x2


Compound: Ga2Au7
Source: OQMD via LeMat-Bulk
Functional: PBE
Structure: optimized geometry

## Properties
excess energy over the best structure of this formula in the dataset: 0.000 eV per atom
E_tot: -89.55 eV for the cell shown

Cell lengths 7.8344, 7.8344, 9.0159 Å; angles 90.00, 90.00, 120.00 degrees
Space group P-62m (No. 189)
Asymmetric unit:
1 Ga 0.0000 0.0000 0.1911 x2
2 Ga 0.3333 0.6667 0.3182 x4
3 Au 0.0000 0.0000 0.5000 x1
4 Au 0.0000 0.3594 0.1690 x6
5 Au 0.0000 0.3693 0.5000 x3
6 Au 0.0000 0.6851 0.3314 x6
7 Au 0.0000 0.7233 0.0000 x3
8 Au 0.3333 0.6667 0.0000 x2


Compound: Ga2Au
Source: OQMD via LeMat-Bulk
Functional: PBE
Structure: optimized geometry

## Properties
E_tot: -39.01 eV for the cell shown

Cell lengths 7.211, 3.673, 8.339 Å; angles 90.00, 90.00, 90.00 degrees
Space group Pnma (No. 62)
Asymmetric unit:
1 Ga 0.050 0.250 0.144 x4
2 Ga 0.127 0.250 0.559 x4
3 Au 0.246 0.750 0.349 x4


Compound: GaAu17
Source: OQMD via LeMat-Bulk
Functional: PBE
Structure: optimized geometry

## Properties
excess energy over the best structure of this formula in the dataset: 0.007 eV per atom
E_tot: -231.36 eV for the cell shown

Cell lengths 9.962, 5.798, 35.490 Å; angles 90.00, 90.21, 90.00 degrees
Space group Pm (No. 6)
Asymmetric unit:
1 Ga 0.000 0.000 0.000 x1
2 Ga 0.000 0.500 0.000 x1
3 Ga 0.166 0.000 0.558 x1
4 Ga 0.667 0.000 0.558 x1
5 Au 0.000 0.000 0.209 x1
6 Au 0.081 0.250 0.070 x2
7 Au 0.083 0.249 0.488 x2
8 Au 0.083 0.250 0.278 x2
9 Au 0.166 0.000 0.140 x1
10 Au 0.166 0.500 0.348 x1
11 Au 0.167 0.000 0.348 x1
12 Au 0.167 0.500 0.140 x1
13 Au 0.167 0.500 0.558 x1
14 Au 0.237 0.250 0.998 x2
15 Au 0.249 0.250 0.417 x2
16 Au 0.250 0.250 0.209 x2
17 Au 0.332 0.000 0.069 x1
18 Au 0.332 0.000 0.487 x1
19 Au 0.332 0.500 0.069 x1
20 Au 0.333 0.000 0.278 x1
21 Au 0.333 0.500 0.279 x1
22 Au 0.333 0.500 0.487 x1
23 Au 0.416 0.246 0.559 x2
24 Au 0.416 0.250 0.139 x2
25 Au 0.417 0.250 0.348 x2
26 Au 0.499 0.000 0.209 x1
27 Au 0.499 0.000 0.418 x1
28 Au 0.499 0.500 0.209 x1
29 Au 0.499 0.500 0.418 x1
30 Au 0.500 0.000 0.000 x1
31 Au 0.500 0.500 0.000 x1
32 Au 0.583 0.249 0.488 x2
33 Au 0.583 0.250 0.278 x2
34 Au 0.584 0.250 0.069 x2
35 Au 0.665 0.000 0.139 x1
36 Au 0.665 0.500 0.139 x1
37 Au 0.666 0.500 0.348 x1
38 Au 0.667 0.000 0.348 x1
39 Au 0.667 0.500 0.559 x1
40 Au 0.749 0.250 0.209 x2
41 Au 0.749 0.250 0.418 x2
42 Au 0.764 0.250 0.998 x2
43 Au 0.832 0.000 0.487 x1
44 Au 0.833 0.000 0.278 x1
45 Au 0.833 0.500 0.278 x1
46 Au 0.833 0.500 0.487 x1
47 Au 0.834 0.000 0.070 x1
48 Au 0.834 0.500 0.070 x1
49 Au 0.916 0.246 0.559 x2
50 Au 0.916 0.250 0.140 x2
51 Au 0.916 0.250 0.348 x2
52 Au 0.999 0.000 0.417 x1
53 Au 0.999 0.500 0.209 x1
54 Au 0.999 0.500 0.418 x1


Compound: GaAu17
Source: OQMD via LeMat-Bulk
Functional: PBE
Structure: optimized geometry

## Properties
excess energy over the best structure of this formula in the dataset: 0.005 eV per atom
E_tot: -115.75 eV for the cell shown

Cell lengths 5.004, 5.762, 35.632 Å; angles 90.00, 90.08, 90.00 degrees
Space group P2_1/m (No. 11)
Asymmetric unit:
1 Ga 0.167 0.250 0.221 x2
2 Au 0.000 0.000 0.500 x2
3 Au 0.000 0.001 0.291 x4
4 Au 0.166 0.750 0.430 x2
5 Au 0.167 0.250 0.430 x2
6 Au 0.167 0.250 0.639 x2
7 Au 0.167 0.750 0.220 x2
8 Au 0.167 0.750 0.639 x2
9 Au 0.333 0.000 0.361 x4
10 Au 0.333 0.000 0.570 x4
11 Au 0.333 0.503 0.780 x4
12 Au 0.498 0.250 0.291 x2
13 Au 0.499 0.250 0.708 x2
14 Au 0.500 0.250 0.500 x2


Compound: GaAu17
Source: OQMD via LeMat-Bulk
Functional: PBE
Structure: optimized geometry

## Properties
excess energy over the best structure of this formula in the dataset: 0.000 eV per atom
E_tot: -115.92 eV for the cell shown

Cell lengths 5.7609, 5.7609, 35.7171 Å; angles 90.00, 90.00, 120.00 degrees
Space group P-3m1 (No. 164)
Asymmetric unit:
1 Ga 0.3333 0.6667 0.2791 x2
2 Au 0.0000 0.0000 0.0000 x1
3 Au 0.0000 0.0000 0.2083 x2
4 Au 0.0000 0.5000 0.0000 x3
5 Au 0.0009 0.5004 0.2088 x6
6 Au 0.1665 0.3330 0.1389 x6
7 Au 0.1665 0.3330 0.7201 x6
8 Au 0.1667 0.3333 0.9305 x6
9 Au 0.3333 0.6667 0.0696 x2
10 Au 0.3333 0.6667 0.8611 x2


Compound: Ga2Au7
Source: OQMD via LeMat-Bulk
Functional: PBE
Structure: optimized geometry

## Properties
excess energy over the best structure of this formula in the dataset: 0.117 eV per atom
E_tot: -28.80 eV for the cell shown

Cell lengths 2.9097, 2.9097, 34.2563 Å; angles 90.00, 90.00, 120.00 degrees
Space group P-3m1 (No. 164)
Asymmetric unit:
1 Ga 0.3333 0.6667 0.2873 x2
2 Au 0.0000 0.0000 0.0000 x1
3 Au 0.0000 0.0000 0.2178 x2
4 Au 0.3333 0.6667 0.0716 x2
5 Au 0.3333 0.6667 0.8561 x2


Compound: Ga2Au9
Source: OQMD via LeMat-Bulk
Functional: PBE
Structure: optimized geometry

## Properties
E_tot: -35.34 eV for the cell shown

Cell lengths 2.9152, 2.9152, 35.9890 Å; angles 90.00, 90.00, 120.00 degrees
Space group P-3m1 (No. 164)
Asymmetric unit:
1 Ga 0.3333 0.6667 0.3396 x2
2 Au 0.0000 0.0000 0.0000 x1
3 Au 0.0000 0.0000 0.2036 x2
4 Au 0.3333 0.6667 0.1353 x2
5 Au 0.3333 0.6667 0.7267 x2
6 Au 0.3333 0.6667 0.9324 x2


Compound: Gd3GaAu4
Source: OQMD via LeMat-Bulk
Functional: PBE
Structure: optimized geometry

## Properties
magnetic moment: 0.01 μB/f.u.
E_tot: -35.76 eV for the cell shown

Cell lengths 5.668, 4.654, 7.051 Å; angles 90.00, 90.15, 90.00 degrees
Space group Pm (No. 6)
Asymmetric unit:
1 Gd 0.000 0.000 0.000 x1
2 Gd 0.211 0.000 0.495 x1
3 Gd 0.706 0.500 0.628 x1
4 Ga 0.491 0.500 0.137 x1
5 Au 0.020 0.500 0.266 x1
6 Au 0.194 0.500 0.781 x1
7 Au 0.511 0.000 0.864 x1
8 Au 0.696 0.000 0.348 x1


Compound: GdGa2Au
Source: OQMD via LeMat-Bulk
Functional: PBE
Structure: optimized geometry

## Properties
magnetic moment: 0.00 μB/f.u.
E_tot: -65.63 eV for the cell shown

Cell lengths 4.201, 19.451, 4.082 Å; angles 90.00, 90.00, 90.00 degrees
Space group Cmmm (No. 65)
Asymmetric unit:
1 Gd 0.000 0.148 0.000 x4
2 Ga 0.000 0.000 0.500 x2
3 Ga 0.000 0.281 0.500 x4
4 Ga 0.000 0.500 0.000 x2
5 Au 0.000 0.410 0.500 x4


Compound: NdGd2Ga2Hg3Au
Source: OQMD via LeMat-Bulk
Functional: PBE
Structure: optimized geometry

## Properties
magnetic moment: 0.00 μB/f.u.
E_tot: -58.65 eV for the cell shown

Cell lengths 4.331, 13.018, 7.497 Å; angles 90.00, 90.00, 90.00 degrees
Space group Amm2 (No. 38)
Asymmetric unit:
1 Nd 0.000 0.000 0.000 x2
2 Gd 0.000 0.204 0.613 x4
3 Ga 0.500 0.168 0.908 x4
4 Hg 0.500 0.000 0.671 x2
5 Hg 0.500 0.132 0.278 x4
6 Au 0.000 0.000 0.413 x2